# PBE-GGA CaNd8Dy6, optimized geometry
# **ΔH_f (0 K)**: 0.170 eV per atom
# **Energy**: -4.347 eV/atom
data_CaNd8Dy6
_chemical_formula_sum 'Ca3 Nd24 Dy18'
_space_group_name_H-M_alt 'R -3'
_space_group_IT_number 148
_space_group_name_Hall '-R 3'
_cell_length_a 9.8058
_cell_length_b 9.8058
_cell_length_c 18.2294
_cell_angle_alpha 90.00
_cell_angle_beta 90.00
_cell_angle_gamma 120.00
loop_
_atom_site_label
_atom_site_fract_x
_atom_site_fract_y
_atom_site_fract_z
Ca1 0.0000 0.0000 0.0000
Nd1 0.0000 0.0000 0.2388
Nd2 0.0460 0.7633 0.9020
Dy1 0.0258 0.7920 0.4094

# PBE-GGA Ca2Nd4Dy, optimized geometry
# **ΔH_f (0 K)**: 0.118 eV per atom
# **Excess energy over the best structure of this formula in the dataset**: 0 meV/atom
# **Energy**: -3.836 eV/atom
data_Ca2Nd4Dy
_chemical_formula_sum 'Ca4 Nd8 Dy2'
_space_group_name_H-M_alt 'I m m m'
_space_group_IT_number 71
_space_group_name_Hall '-I 2 2'
_cell_length_a 3.591
_cell_length_b 5.934
_cell_length_c 23.861
_cell_angle_alpha 90.00
_cell_angle_beta 90.00
_cell_angle_gamma 90.00
loop_
_atom_site_label
_atom_site_fract_x
_atom_site_fract_y
_atom_site_fract_z
Ca1 0.000 0.000 0.221
Nd1 0.000 0.500 0.130
Nd2 0.000 0.500 0.420
Dy1 0.000 0.000 0.500

# PBE-GGA CaNd8Dy5, optimized geometry
# **ΔH_f (0 K)**: 0.237 eV per atom
# **Energy**: -4.274 eV/atom
data_CaNd8Dy5
_chemical_formula_sum 'Ca2 Nd16 Dy10'
_space_group_name_H-M_alt 'I -4'
_space_group_IT_number 82
_space_group_name_Hall 'I -4'
_cell_length_a 9.791
_cell_length_b 9.791
_cell_length_c 10.388
_cell_angle_alpha 90.00
_cell_angle_beta 90.00
_cell_angle_gamma 90.00
loop_
_atom_site_label
_atom_site_fract_x
_atom_site_fract_y
_atom_site_fract_z
Ca1 0.000 0.000 0.000
Nd1 0.071 0.174 0.349
Nd2 0.092 0.328 0.003
Dy1 0.000 0.500 0.250
Dy2 0.110 0.297 0.677

# PBE-GGA CaNd4Dy15, optimized geometry
# **ΔH_f (0 K)**: 0.039 eV per atom
# **Energy**: -4.466 eV/atom
data_CaNd4Dy15
_chemical_formula_sum 'Ca1 Nd4 Dy15'
_space_group_name_H-M_alt 'P 4/m m m'
_space_group_IT_number 123
_space_group_name_Hall '-P 4 2'
_cell_length_a 5.071
_cell_length_b 5.071
_cell_length_c 25.325
_cell_angle_alpha 90.00
_cell_angle_beta 90.00
_cell_angle_gamma 90.00
loop_
_atom_site_label
_atom_site_fract_x
_atom_site_fract_y
_atom_site_fract_z
Ca1 0.000 0.000 0.000
Nd1 0.000 0.000 0.201
Nd2 0.000 0.000 0.400
Dy1 0.000 0.500 0.103
Dy2 0.000 0.500 0.301
Dy3 0.000 0.500 0.500
Dy4 0.500 0.500 0.000
Dy5 0.500 0.500 0.200
Dy6 0.500 0.500 0.400

# PBE-GGA CaNd7Dy2, optimized geometry
# **ΔH_f (0 K)**: 0.086 eV per atom
# **Excess energy over the best structure of this formula in the dataset**: 0 meV/atom
# **Energy**: -4.372 eV/atom
data_CaNd7Dy2
_chemical_formula_sum 'Ca1 Nd7 Dy2'
_space_group_name_H-M_alt 'P -1'
_space_group_IT_number 2
_space_group_name_Hall '-P 1'
_cell_length_a 6.669
_cell_length_b 6.728
_cell_length_c 8.671
_cell_angle_alpha 72.66
_cell_angle_beta 71.73
_cell_angle_gamma 83.60
loop_
_atom_site_label
_atom_site_fract_x
_atom_site_fract_y
_atom_site_fract_z
Ca1 0.000 0.000 0.000
Nd1 0.000 0.000 0.500
Nd2 0.205 0.591 0.770
Nd3 0.227 0.542 0.341
Nd4 0.420 0.236 0.065
Dy1 0.428 0.143 0.634

# PBE-GGA CaNd2Dy, optimized geometry
# **ΔH_f (0 K)**: 0.043 eV per atom
# **Excess energy over the best structure of this formula in the dataset**: 9 meV/atom
# **Energy**: -3.992 eV/atom
data_CaNd2Dy
_chemical_formula_sum 'Ca1 Nd2 Dy1'
_space_group_name_H-M_alt 'P 4/m m m'
_space_group_IT_number 123
_space_group_name_Hall '-P 4 2'
_cell_length_a 3.669
_cell_length_b 3.669
_cell_length_c 10.547
_cell_angle_alpha 90.00
_cell_angle_beta 90.00
_cell_angle_gamma 90.00
loop_
_atom_site_label
_atom_site_fract_x
_atom_site_fract_y
_atom_site_fract_z
Ca1 0.000 0.000 0.000
Nd1 0.500 0.500 0.266
Dy1 0.000 0.000 0.500

# PBE-GGA CaNd7Dy3, optimized geometry
# **ΔH_f (0 K)**: 0.210 eV per atom
# **Excess energy over the best structure of this formula in the dataset**: 0 meV/atom
# **Energy**: -4.261 eV/atom
data_CaNd7Dy3
_chemical_formula_sum 'Ca1 Nd7 Dy3'
_space_group_name_H-M_alt 'P 3 m 1'
_space_group_IT_number 156
_space_group_name_Hall 'P 3 -2"'
_cell_length_a 7.2544
_cell_length_b 7.2544
_cell_length_c 8.7696
_cell_angle_alpha 90.00
_cell_angle_beta 90.00
_cell_angle_gamma 120.00
loop_
_atom_site_label
_atom_site_fract_x
_atom_site_fract_y
_atom_site_fract_z
Ca1 0.0000 0.0000 0.0000
Nd1 0.0030 0.5015 0.0106
Nd2 0.3333 0.6667 0.6801
Nd3 0.3380 0.1690 0.6607
Dy1 0.1690 0.3380 0.3428

# PBE-GGA CaNd4Dy3, optimized geometry
# **ΔH_f (0 K)**: 0.041 eV per atom
# **Energy**: -4.318 eV/atom
data_CaNd4Dy3
_chemical_formula_sum 'Ca2 Nd8 Dy6'
_space_group_name_H-M_alt 'P m n a'
_space_group_IT_number 53
_space_group_name_Hall '-P 2ac 2'
_cell_length_a 7.273
_cell_length_b 7.297
_cell_length_c 10.258
_cell_angle_alpha 90.00
_cell_angle_beta 90.00
_cell_angle_gamma 90.00
loop_
_atom_site_label
_atom_site_fract_x
_atom_site_fract_y
_atom_site_fract_z
Ca1 0.000 0.000 0.000
Nd1 0.000 0.000 0.500
Nd2 0.000 0.500 0.500
Nd3 0.250 0.256 0.250
Dy1 0.000 0.500 0.000
Dy2 0.250 0.259 0.750

# PBE-GGA CaNd7Dy4, optimized geometry
# **ΔH_f (0 K)**: 0.023 eV per atom
# **Energy**: -4.459 eV/atom
data_CaNd7Dy4
_chemical_formula_sum 'Ca1 Nd7 Dy4'
_space_group_name_H-M_alt 'P -1'
_space_group_IT_number 2
_space_group_name_Hall '-P 1'
_cell_length_a 6.372
_cell_length_b 7.354
_cell_length_c 9.068
_cell_angle_alpha 90.22
_cell_angle_beta 103.50
_cell_angle_gamma 90.01
loop_
_atom_site_label
_atom_site_fract_x
_atom_site_fract_y
_atom_site_fract_z
Ca1 0.000 0.000 0.000
Nd1 0.000 0.500 0.000
Nd2 0.226 0.000 0.659
Nd3 0.284 0.255 0.338
Nd4 0.499 0.741 0.002
Dy1 0.219 0.500 0.667
Dy2 0.281 0.744 0.336

# PBE-GGA CaNd6Dy12, optimized geometry
# **ΔH_f (0 K)**: 0.447 eV per atom
# **Energy**: -4.071 eV/atom
data_CaNd6Dy12
_chemical_formula_sum 'Ca3 Nd18 Dy36'
_space_group_name_H-M_alt 'R -3 m'
_space_group_IT_number 166
_space_group_name_Hall '-R 3 2"'
_cell_length_a 14.9916
_cell_length_b 14.9916
_cell_length_c 10.6391
_cell_angle_alpha 90.00
_cell_angle_beta 90.00
_cell_angle_gamma 120.00
loop_
_atom_site_label
_atom_site_fract_x
_atom_site_fract_y
_atom_site_fract_z
Ca1 0.0000 0.0000 0.0000
Nd1 0.0736 0.5368 0.2227
Dy1 0.0000 0.3874 0.5000
Dy2 0.0800 0.1599 0.2555